# 1
Density functional theory data (PBE) for CeY2Sc after structural relaxation.

E	-6.1181	eV/atom

a = 7.869 Å, b = 7.869 Å, c = 7.869 Å
α = 90.00°, β = 90.00°, γ = 90.00°
Space group Fm-3m (No. 225)
Unique sites:
Ce 0.000 0.000 0.000 x4
Y 0.250 0.250 0.250 x8
Sc 0.000 0.000 0.500 x4

***

# 2
Density functional theory data (PBE) for CoNi3W after structural relaxation.

E	-6.1606	eV/atom

a = 4.172 Å, b = 4.172 Å, c = 4.172 Å
α = 90.00°, β = 90.00°, γ = 90.00°
Space group Pm-3m (No. 221)
Unique sites:
Co 0.000 0.000 0.000 x1
Ni 0.000 0.000 0.500 x3
W 0.500 0.500 0.500 x1

***

# 3
Density functional theory data (PBE) for KBi4Pb after structural relaxation.

E	-3.3995	eV/atom

a = 9.463 Å, b = 9.463 Å, c = 9.463 Å
α = 90.00°, β = 90.00°, γ = 90.00°
Space group F-43m (No. 216)
Unique sites:
K 0.000 0.000 0.000 x4
Bi 0.124 0.124 0.624 x16
Pb 0.250 0.250 0.250 x4

***

# 4
Density functional theory data (PBE) for HfAlZn2Cr after structural relaxation.

E	-4.3931	eV/atom

a = 4.508 Å, b = 4.508 Å, c = 4.591 Å
α = 90.00°, β = 90.00°, γ = 90.00°
Space group P4/mmm (No. 123)
Unique sites:
Hf 0.000 0.000 0.000 x1
Al 0.500 0.500 0.500 x1
Zn 0.000 0.500 0.500 x2
Cr 0.500 0.500 0.000 x1

***

# 5
Density functional theory data (PBE) for CsRb3Cd after structural relaxation.

E	-0.9400	eV/atom

a = 5.183 Å, b = 30.528 Å, c = 9.988 Å
α = 90.00°, β = 90.00°, γ = 90.00°
Space group Ama2 (No. 40)
Unique sites:
Cs 0.250 0.070 0.000 x4
Rb 0.250 0.067 0.530 x4
Rb 0.250 0.300 0.263 x4
Rb 0.250 0.333 0.779 x4
Cd 0.250 0.473 0.772 x4

***

# 6
Density functional theory data (PBE) for Pm6Pr3Mg after structural relaxation.

E	-4.3503	eV/atom

a = 7.653 Å, b = 18.963 Å, c = 9.504 Å
α = 90.00°, β = 90.00°, γ = 90.00°
Space group Cmc2_1 (No. 36)
Unique sites:
Pm 0.000 0.043 0.000 x4
Pm 0.000 0.291 0.837 x4
Pm 0.240 0.065 0.306 x8
Pm 0.247 0.196 0.043 x8
Pr 0.000 0.458 0.508 x4
Pr 0.249 0.374 0.174 x8
Mg 0.000 0.214 0.330 x4